Record 1
Density functional theory data (PBEsol) for Cd2InHg after structural relaxation.

Geometry as POSCAR:
```
Cd2InHg
1.0
3.1953 0.0000 0.0000
-1.5977 5.0616 -0.1046
0.0000 -1.0711 5.5213
Cd Hg In
2 1 1
Direct
0.2514 0.5028 0.7509
0.9957 0.9915 0.9937
0.5039 0.0078 0.5080
0.7489 0.4979 0.2474
```

Output
final energy	-1.478	eV/atom
V	22.24	A^3/atom
polymorph energy (0 for the lowest one)	4	meV per atom
symmetry	No. 8

***

Record 2
Density functional theory data (PBEsol) for Os2RuCl after structural relaxation.

Geometry as POSCAR:
```
Os2RuCl
1.0
-1.5503 -2.2967 -0.0513
0.4912 -1.9613 -1.8954
5.0174 -5.1620 4.6157
Cl Ru Os
1 1 2
Direct
0.2475 0.2475 0.2576
0.5014 0.5014 0.4958
0.7506 0.7506 0.7483
0.0005 0.0005 0.9984
```

Output
formation energy without anion corrections	1.782	eV/f.u.
final energy	-8.708	eV/atom
V	13.97	A^3/atom
polymorph energy (0 for the lowest one)	0	meV per atom
symmetry	No. 160

***

Record 3
Density functional theory data (PBEsol) for AsIr2Cl after structural relaxation.

Geometry as POSCAR:
```
AsIr2Cl
1.0
3.6227 0.0000 0.0000
0.0000 3.6227 0.0000
-1.8113 -1.8113 4.5991
Cl Ir As
1 2 1
Direct
0.2500 0.7500 0.5000
0.0000 0.0000 0.0000
0.7500 0.2500 0.5000
0.5000 0.5000 0.0000
```

Output
formation energy without anion corrections	3.292	eV/f.u.
final energy	-5.867	eV/atom
V	15.09	A^3/atom
polymorph energy (0 for the lowest one)	455	meV per atom
symmetry	No. 119

***

Record 4
Density functional theory data (PBEsol) for TcSbPO2 after structural relaxation.

Geometry as POSCAR:
```
TcSbPO2
1.0
3.7969 0.0000 0.0000
0.0000 3.7969 0.0000
0.0000 0.0000 5.1225
Tc O Sb P
1 2 1 1
Direct
0.0000 0.0000 0.0000
0.0000 0.5000 0.0000
0.5000 0.0000 0.0000
0.5000 0.5000 0.5000
0.0000 0.0000 0.5000
```

Output
formation energy without anion corrections	-2.864	eV/f.u.
final energy	-6.996	eV/atom
V	14.77	A^3/atom
symmetry	No. 123

***

Record 5
Density functional theory data (PBEsol) for FeAsSe2 after structural relaxation.

Geometry as POSCAR:
```
FeAsSe2
1.0
3.3308 0.0000 0.0000
1.6654 2.8845 0.0000
1.6654 0.9615 7.9930
As Fe Se
1 1 2
Direct
0.0000 0.0000 0.0000
0.5000 0.5000 0.5000
0.8889 0.8889 0.3334
0.1111 0.1111 0.6666
```

Output
formation energy without anion corrections	0.022	eV/f.u.
final energy	-5.437	eV/atom
V	19.20	A^3/atom
symmetry	No. 166

***

Record 6
Density functional theory data (PBEsol) for AsPt2Rh after structural relaxation.

Geometry as POSCAR:
```
AsPt2Rh
1.0
-1.9901 -2.0435 -0.0787
1.4012 -1.2229 -3.6780
4.1430 -2.2675 2.3322
Pt As Rh
2 1 1
Direct
0.8824 0.0000 0.7399
0.1176 0.0000 0.2601
0.5000 0.5000 0.5000
0.5000 0.5000 0.0000
```

Output
final energy	-6.788	eV/atom
V	14.98	A^3/atom
symmetry	No. 10

***

Record 7
Density functional theory data (PBEsol) for TaAlCd2 after structural relaxation.

Geometry as POSCAR:
```
TaAlCd2
1.0
2.9860 0.0000 0.0000
0.0000 4.7819 0.0000
0.0000 0.0000 5.1412
Al Ta Cd
1 1 2
Direct
0.0000 0.5000 0.5000
0.5000 0.0000 0.5000
0.0000 0.0000 0.0000
0.5000 0.5000 0.0000
```

Output
final energy	-4.548	eV/atom
V	18.35	A^3/atom
symmetry	No. 47

***

Record 8
Density functional theory data (PBEsol) for NbSe4 after structural relaxation.

Geometry as POSCAR:
```
NbSe4
1.0
8.2914 0.0000 0.0000
0.0000 8.2914 0.0000
0.0000 0.0000 19.2830
Se Nb
48 12
Direct
0.0905 0.2522 0.6649
0.5905 0.2478 0.8351
0.8947 0.7214 0.3336
0.7522 0.4095 0.6649
0.7478 0.9095 0.8351
0.9010 0.7432 0.0020
0.3947 0.2214 0.6664
0.2786 0.8947 0.6664
0.2568 0.9010 0.9980
0.9095 0.7478 0.6649
0.7568 0.5990 0.5020
0.0990 0.7432 0.5020
0.3947 0.7786 0.1664
0.2432 0.4010 0.5020
0.0990 0.2568 0.0020
0.9010 0.2568 0.5020
0.7522 0.5905 0.1649
0.4095 0.7522 0.8351
0.5990 0.2432 0.4980
0.1053 0.7214 0.8336
0.4010 0.2432 0.9980
0.2522 0.9095 0.3351
0.2432 0.5990 0.0020
0.8947 0.2786 0.8336
0.4095 0.2478 0.3351
0.2478 0.4095 0.1649
0.7786 0.3947 0.3336
0.4010 0.7568 0.4980
0.5990 0.7568 0.9980
0.2786 0.1053 0.1664
0.7432 0.9010 0.4980
0.0905 0.7478 0.1649
0.9095 0.2522 0.1649
0.2214 0.6053 0.3336
0.7568 0.4010 0.0020
0.2214 0.3947 0.8336
0.5905 0.7522 0.3351
0.7432 0.0990 0.9980
0.7214 0.8947 0.1664
0.2568 0.0990 0.4980
0.7786 0.6053 0.8336
0.7478 0.0905 0.3351
0.1053 0.2786 0.3336
0.7214 0.1053 0.6664
0.2478 0.5905 0.6649
0.2522 0.0905 0.8351
0.6053 0.7786 0.6664
0.6053 0.2214 0.1664
0.0000 0.5000 0.7393
0.0000 0.5000 0.5841
0.5000 0.0000 0.5728
0.5000 0.0000 0.0728
0.0000 0.5000 0.0841
0.0000 0.5000 0.2393
0.5000 0.0000 0.4159
0.0000 0.5000 0.4272
0.0000 0.5000 0.9272
0.5000 0.0000 0.7607
0.5000 0.0000 0.9159
0.5000 0.0000 0.2607
```

Output
formation energy without anion corrections	-2.894	eV/f.u.
final energy	-5.823	eV/atom
V	22.09	A^3/atom
symmetry	No. 130

***

Record 9
Density functional theory data (PBEsol) for Zr4Si3Sb5 after structural relaxation.

Geometry as POSCAR:
```
Zr4Si3Sb5
1.0
-0.2310 -1.6277 3.4273
3.6885 0.7082 0.5850
-4.0104 15.1628 6.9308
Sb Si Zr
5 3 4
Direct
0.0000 0.5000 0.3102
0.5000 0.0000 0.6898
0.5000 0.0000 0.1987
0.5000 0.5000 0.0000
0.0000 0.5000 0.8013
0.0000 0.0000 0.5000
0.0000 0.0000 0.0000
0.5000 0.5000 0.5000
0.5000 0.0000 0.8721
0.5000 0.0000 0.3786
0.0000 0.5000 0.6214
0.0000 0.5000 0.1279
```

Output
formation energy without anion corrections	-7.901	eV/f.u.
final energy	-7.024	eV/atom
V	20.65	A^3/atom
symmetry	No. 115

***

Record 10
Density functional theory data (PBEsol) for Fe6Co after structural relaxation.

Geometry as POSCAR:
```
Fe6Co
1.0
2.4235 0.0000 0.0000
-0.8078 6.0279 0.0000
-0.8078 -3.0140 5.2204
Fe Co
6 1
Direct
0.8567 0.1422 0.4282
0.1433 0.8578 0.5718
0.4285 0.5718 0.7141
0.7145 0.2859 0.8578
0.5715 0.4282 0.2859
0.2855 0.7141 0.1422
0.0000 0.0000 0.0000
```

Output
final energy	-8.762	eV/atom
V	10.89	A^3/atom
polymorph energy (0 for the lowest one)	8	meV per atom
symmetry	No. 148

***

Record 11
Density functional theory data (PBEsol) for Sr2Y2Cu2O7 after structural relaxation.

Geometry as POSCAR:
```
Sr2Y2Cu2O7
1.0
5.3100 0.0000 0.0000
0.0000 5.3368 0.0000
-2.6550 -2.6684 12.1828
Sr Cu O Y
4 4 14 4
Direct
0.1147 0.1482 0.2818
0.6147 0.6336 0.2818
0.8329 0.8518 0.7182
0.3329 0.3664 0.7182
0.8991 0.4313 0.8625
0.3991 0.9311 0.8625
0.5367 0.0689 0.1375
0.0367 0.5687 0.1375
0.6182 0.1885 0.3288
0.7773 0.3073 0.1170
0.1602 0.6902 0.8830
0.1567 0.1890 0.8794
0.7894 0.3597 0.6712
0.6602 0.6927 0.8830
0.2894 0.8115 0.6712
0.6567 0.1904 0.8794
0.2774 0.8110 0.1206
0.6838 0.8088 0.5000
0.1182 0.6403 0.3288
0.7774 0.8096 0.1206
0.2773 0.3098 0.1170
0.1838 0.1912 0.5000
0.2659 0.7871 0.5000
0.4676 0.5000 0.0000
0.9676 0.0000 0.0000
0.7659 0.2129 0.5000
```

Output
formation energy without anion corrections	-31.252	eV/f.u.
final energy	-7.230	eV/atom
V	13.28	A^3/atom
symmetry	No. 46

***

Record 12
Density functional theory data (PBEsol) for In2SbRh after structural relaxation.

Geometry as POSCAR:
```
In2SbRh
1.0
4.4623 0.0000 0.0000
0.0000 4.4623 0.0000
-2.2311 -2.2311 4.1005
In Sb Rh
2 1 1
Direct
0.0000 0.0000 0.0000
0.7500 0.2500 0.5000
0.2500 0.7500 0.5000
0.5000 0.5000 0.0000
```

Output
formation energy without anion corrections	0.348	eV/f.u.
final energy	-4.578	eV/atom
V	20.41	A^3/atom
symmetry	No. 119